# TaBeTeAs PBE-GGA optimized geometry
# total moment = 0.102 μB/atom
# E above lowest polymorph = 0 meV per atom
data_TaBeTeAs
_cell_length_a 4.673
_cell_length_b 4.673
_cell_length_c 4.673
_cell_angle_alpha 60.00
_cell_angle_beta 60.00
_cell_angle_gamma 60.00
_symmetry_space_group_name_H-M 'P 1'
_symmetry_Int_Tables_number 1
_symmetry_space_group_name_Hall 'P 1'
loop_
_atom_site_label
_atom_site_type_symbol
_atom_site_fract_x
_atom_site_fract_y
_atom_site_fract_z
Ta1 Ta 0.000 0.000 0.000
Be1 Be 0.500 0.500 0.500
Te1 Te 0.750 0.750 0.750
As1 As 0.250 0.250 0.250